This record from Alexandria describes crystalline SrBeIr at its relaxed geometry. The functional is GGA-PBE. Values from VASP.

Quantum ESPRESSO input file:
```
&SYSTEM
  ibrav = 0, nat = 3, ntyp = 3
/
ATOMIC_SPECIES
Be 9.01 Be.upf
Ir 192.22 Ir.upf
Sr 87.62 Sr.upf
ATOMIC_POSITIONS crystal
Be 0.941 0.941 0.058
Ir 0.388 0.388 0.612
Sr 0.671 0.671 0.329
CELL_PARAMETERS angstrom
5.888 -0.001 0.001
5.024 3.072 0.002
0.865 0.243 3.063
```

- energy relative to the lowest polymorph listed for this composition (meV per atom) = 282.1
- calculated formation energy (eV/f.u.) = -0.4
- size of the total moment (μB per cell) = 0.000

This record from Alexandria describes crystalline SrBe2Ir at its relaxed geometry. The functional is GGA-PBE. Values from VASP.

Quantum ESPRESSO input file:
```
&SYSTEM
  ibrav = 0, nat = 4, ntyp = 3
/
ATOMIC_SPECIES
Be 9.01 Be.upf
Sr 87.62 Sr.upf
Ir 192.22 Ir.upf
ATOMIC_POSITIONS crystal
Be 0.000 0.000 0.000
Be 0.500 0.500 0.000
Sr 0.000 0.500 0.500
Ir 0.500 0.000 0.500
CELL_PARAMETERS angstrom
-0.939 1.017 4.326
0.838 -4.301 1.193
2.840 0.680 0.456
```

- energy relative to the lowest polymorph listed for this composition (meV per atom) = 971.5
- calculated formation energy (eV/f.u.) = 2.6
- size of the total moment (μB per cell) = 0.000

This record from Alexandria describes crystalline Sr2BeIr at its relaxed geometry. The functional is GGA-PBE. Values from VASP.

Quantum ESPRESSO input file:
```
&SYSTEM
  ibrav = 0, nat = 4, ntyp = 3
/
ATOMIC_SPECIES
Ir 192.22 Ir.upf
Sr 87.62 Sr.upf
Be 9.01 Be.upf
ATOMIC_POSITIONS crystal
Ir 0.500 0.585 0.705
Sr 0.500 0.269 0.338
Sr 0.000 0.985 0.905
Be 0.000 0.661 0.553
CELL_PARAMETERS angstrom
-1.651 0.349 -3.767
-1.952 -4.183 0.468
-5.507 0.272 2.439
```

- calculated formation energy (eV/f.u.) = -0.7
- size of the total moment (μB per cell) = 0.000

This record from Alexandria describes crystalline SrBe2Ir2 at its relaxed geometry. The functional is GGA-PBE. Values from VASP.

Quantum ESPRESSO input file:
```
&SYSTEM
  ibrav = 0, nat = 5, ntyp = 3
/
ATOMIC_SPECIES
Ir 192.22 Ir.upf
Sr 87.62 Sr.upf
Be 9.01 Be.upf
ATOMIC_POSITIONS crystal
Ir 0.369 0.369 0.263
Ir 0.631 0.631 0.737
Sr 0.000 0.000 0.000
Be 0.250 0.750 0.500
Be 0.750 0.250 0.500
CELL_PARAMETERS angstrom
-2.457 3.282 0.324
-1.701 -0.915 -3.631
-5.390 -1.515 0.578
```

- energy relative to the lowest polymorph listed for this composition (meV per atom) = 0.0
- calculated formation energy (eV/f.u.) = -1.3
- size of the total moment (μB per cell) = 0.000

So what do the calculations give for raw total energy? Going down the list: -0.1797; -0.1412; -0.1530; -0.2070 hartree per atom.